<one>
A relaxed HfBePCl2 crystal, computed with GGA-PBE.

## Properties
As for the spin magnetization: 0.000 μB/cell.

Cell and atoms, written as CIF:
```
data_HfBePCl2
_cell_length_a 4.888
_cell_length_b 4.888
_cell_length_c 5.176
_cell_angle_alpha 90.00
_cell_angle_beta 90.00
_cell_angle_gamma 90.00
_symmetry_space_group_name_H-M 'P 4/m m m'
_symmetry_Int_Tables_number 123
_symmetry_space_group_name_Hall '-P 4 2'
loop_
_atom_site_label
_atom_site_fract_x
_atom_site_fract_y
_atom_site_fract_z
Hf1 0.000 0.000 0.000
Be1 0.500 0.500 0.500
P1 0.000 0.000 0.500
Cl1 0.000 0.500 0.000
```

---

<two>
A relaxed HfBePCl2 crystal, computed with GGA-PBE.

## Properties
As for the spin magnetization: 0.795 μB/cell.

Cell and atoms, written as CIF:
```
data_HfBePCl2
_cell_length_a 3.993
_cell_length_b 3.993
_cell_length_c 6.864
_cell_angle_alpha 90.00
_cell_angle_beta 90.00
_cell_angle_gamma 90.00
_symmetry_space_group_name_H-M 'P 4/m m m'
_symmetry_Int_Tables_number 123
_symmetry_space_group_name_Hall '-P 4 2'
loop_
_atom_site_label
_atom_site_fract_x
_atom_site_fract_y
_atom_site_fract_z
Hf1 0.000 0.000 0.000
Be1 0.500 0.500 0.500
P1 0.500 0.500 0.000
Cl1 0.000 0.500 0.500
```

---

Least stable = <one>

---

<one>
A relaxed Be2HgCl crystal, computed with GGA-PBE.

## Properties
As for the spin magnetization: 0.000 μB/cell.

Cell and atoms, written as CIF:
```
data_Be2HgCl
_cell_length_a 15.030
_cell_length_b 3.005
_cell_length_c 3.957
_cell_angle_alpha 90.00
_cell_angle_beta 91.44
_cell_angle_gamma 90.00
_symmetry_space_group_name_H-M 'C 1 m 1'
_symmetry_Int_Tables_number 8
loop_
_symmetry_equiv_pos_as_xyz
'x,y,z'
'x,-y,z'
'x+1/2,y+1/2,z'
'x+1/2,-y+1/2,z'
loop_
_atom_site_label
_atom_site_fract_x
_atom_site_fract_y
_atom_site_fract_z
Be1 0.000 0.000 0.000
Be2 0.128 0.500 0.014
Hg1 0.118 0.000 0.513
Cl1 0.412 0.000 0.993
```

---

<two>
A relaxed Be2HgCl crystal, computed with GGA-PBE.

## Properties
As for the spin magnetization: 0.000 μB/cell.

Cell and atoms, written as CIF:
```
data_Be2HgCl
_cell_length_a 3.370
_cell_length_b 3.370
_cell_length_c 13.187
_cell_angle_alpha 90.00
_cell_angle_beta 90.00
_cell_angle_gamma 90.00
_symmetry_space_group_name_H-M 'I -4 m 2'
_symmetry_Int_Tables_number 119
_symmetry_space_group_name_Hall 'I -4 -2'
loop_
_atom_site_label
_atom_site_fract_x
_atom_site_fract_y
_atom_site_fract_z
Be1 0.000 0.000 0.000
Be2 0.000 0.500 0.250
Hg1 0.000 0.000 0.500
Cl1 0.000 0.500 0.750
```

---

Least stable = <two>

---

<one>
A relaxed Be2HgCl crystal, computed with GGA-PBE.

## Properties
As for the spin magnetization: 0.000 μB/cell.

Cell and atoms, written as CIF:
```
data_Be2HgCl
_cell_length_a 3.426
_cell_length_b 3.426
_cell_length_c 5.352
_cell_angle_alpha 90.00
_cell_angle_beta 90.00
_cell_angle_gamma 90.00
_symmetry_space_group_name_H-M 'P 4 m m'
_symmetry_Int_Tables_number 99
loop_
_symmetry_equiv_pos_as_xyz
'x,y,z'
'-y,x,z'
'-x,-y,z'
'y,-x,z'
'-x,y,z'
'y,x,z'
'x,-y,z'
'-y,-x,z'
loop_
_atom_site_label
_atom_site_fract_x
_atom_site_fract_y
_atom_site_fract_z
Be1 0.000 0.000 0.000
Be2 0.500 0.500 0.386
Hg1 0.500 0.500 0.872
Cl1 0.000 0.000 0.381
```

---

<two>
A relaxed Be2HgCl crystal, computed with GGA-PBE.

## Properties
As for the spin magnetization: 0.000 μB/cell.

Cell and atoms, written as CIF:
```
data_Be2HgCl
_cell_length_a 4.193
_cell_length_b 4.193
_cell_length_c 7.710
_cell_angle_alpha 90.00
_cell_angle_beta 90.00
_cell_angle_gamma 90.00
_symmetry_space_group_name_H-M 'I 4/m m m'
_symmetry_Int_Tables_number 139
_symmetry_space_group_name_Hall '-I 4 2'
loop_
_atom_site_label
_atom_site_fract_x
_atom_site_fract_y
_atom_site_fract_z
Be1 0.000 0.500 0.250
Hg1 0.000 0.000 0.000
Cl1 0.000 0.000 0.500
```

---

<three>
A relaxed Be2HgCl crystal, computed with GGA-PBE.

## Properties
As for the spin magnetization: 0.000 μB/cell.

Cell and atoms, written as CIF:
```
data_Be2HgCl
_cell_length_a 3.006
_cell_length_b 3.006
_cell_length_c 7.082
_cell_angle_alpha 90.00
_cell_angle_beta 90.00
_cell_angle_gamma 90.00
_symmetry_space_group_name_H-M 'P 4/m m m'
_symmetry_Int_Tables_number 123
_symmetry_space_group_name_Hall '-P 4 2'
loop_
_atom_site_label
_atom_site_fract_x
_atom_site_fract_y
_atom_site_fract_z
Be1 0.000 0.000 0.230
Hg1 0.500 0.500 0.000
Cl1 0.500 0.500 0.500
```

---

<four>
A relaxed Be2HgCl crystal, computed with GGA-PBE.

## Properties
As for the spin magnetization: 0.000 μB/cell.

Cell and atoms, written as CIF:
```
data_Be2HgCl
_cell_length_a 6.175
_cell_length_b 7.679
_cell_length_c 3.470
_cell_angle_alpha 90.00
_cell_angle_beta 123.15
_cell_angle_gamma 90.00
_symmetry_space_group_name_H-M 'C 1 2/m 1'
_symmetry_Int_Tables_number 12
loop_
_symmetry_equiv_pos_as_xyz
'x,y,z'
'-x,-y,-z'
'-x,y,-z'
'x,-y,z'
'x+1/2,y+1/2,z'
'-x+1/2,-y+1/2,-z'
'-x+1/2,y+1/2,-z'
'x+1/2,-y+1/2,z'
loop_
_atom_site_label
_atom_site_fract_x
_atom_site_fract_y
_atom_site_fract_z
Be1 0.250 0.250 0.000
Hg1 0.000 0.000 0.500
Cl1 0.000 0.500 0.500
```

---

Least stable = <two>

---

<one>
A relaxed Be2HgCl crystal, computed with GGA-PBE.

## Properties
As for the spin magnetization: 0.001 μB/cell.

Cell and atoms, written as CIF:
```
data_Be2HgCl
_cell_length_a 3.224
_cell_length_b 3.470
_cell_length_c 6.635
_cell_angle_alpha 90.00
_cell_angle_beta 90.00
_cell_angle_gamma 90.00
_symmetry_space_group_name_H-M 'P m m m'
_symmetry_Int_Tables_number 47
loop_
_symmetry_equiv_pos_as_xyz
'x,y,z'
'-x,-y,-z'
'-x,-y,z'
'x,y,-z'
'x,-y,-z'
'-x,y,z'
'-x,y,-z'
'x,-y,z'
loop_
_atom_site_label
_atom_site_fract_x
_atom_site_fract_y
_atom_site_fract_z
Be1 0.000 0.000 0.000
Be2 0.500 0.000 0.500
Hg1 0.000 0.500 0.500
Cl1 0.500 0.500 0.000
```

---

<two>
A relaxed Be2HgCl crystal, computed with GGA-PBE.

## Properties
As for the spin magnetization: 0.000 μB/cell.

Cell and atoms, written as CIF:
```
data_Be2HgCl
_cell_length_a 4.767
_cell_length_b 4.767
_cell_length_c 2.829
_cell_angle_alpha 90.00
_cell_angle_beta 90.00
_cell_angle_gamma 90.00
_symmetry_space_group_name_H-M 'P 4/m m m'
_symmetry_Int_Tables_number 123
_symmetry_space_group_name_Hall '-P 4 2'
loop_
_atom_site_label
_atom_site_fract_x
_atom_site_fract_y
_atom_site_fract_z
Be1 0.000 0.500 0.000
Hg1 0.000 0.000 0.500
Cl1 0.500 0.500 0.500
```

---

<three>
A relaxed Be2HgCl crystal, computed with GGA-PBE.

## Properties
As for the spin magnetization: 0.000 μB/cell.

Cell and atoms, written as CIF:
```
data_Be2HgCl
_cell_length_a 3.2062
_cell_length_b 3.2062
_cell_length_c 20.6338
_cell_angle_alpha 90.00
_cell_angle_beta 90.00
_cell_angle_gamma 120.00
_symmetry_space_group_name_H-M 'R -3 m'
_symmetry_Int_Tables_number 166
_symmetry_space_group_name_Hall '-R 3 2"'
loop_
_atom_site_label
_atom_site_fract_x
_atom_site_fract_y
_atom_site_fract_z
Be1 0.0000 0.0000 0.2500
Hg1 0.0000 0.0000 0.0000
Cl1 0.0000 0.0000 0.5000
```

---

Least stable = <two>